[1]
A relaxed LuMgTlTe3 crystal. Source: OQMD via LeMat-Bulk, functional PBE.

```
LuMgTlTe3
1.0
11.6208 0.0000 0.0000
0.0000 4.4188 0.0000
0.0000 0.0000 15.4379
Lu Mg Tl Te
4 4 4 12
direct
0.0149 0.2500 0.2463
0.4851 0.7500 0.7463
0.5149 0.2500 0.2537
0.9851 0.7500 0.7537
0.2374 0.2500 0.7152
0.2626 0.7500 0.2152
0.7374 0.2500 0.7848
0.7626 0.7500 0.2848
0.2293 0.7500 0.5087
0.2707 0.2500 0.0087
0.7293 0.7500 0.9913
0.7707 0.2500 0.4913
0.0353 0.2500 0.6208
0.0661 0.7500 0.1151
0.2364 0.7500 0.8262
0.2636 0.2500 0.3262
0.4339 0.2500 0.6151
0.4647 0.7500 0.1208
0.5353 0.2500 0.8792
0.5661 0.7500 0.3849
0.7364 0.7500 0.6738
0.7636 0.2500 0.1738
0.9339 0.2500 0.8849
0.9647 0.7500 0.3792
```

Calculated values
Space-group type: Pnma (62)
Energy, eV per atom: -3.903

[2]
A relaxed Lu2MgTl crystal. Source: OQMD via LeMat-Bulk, functional PBE.

```
Lu2MgTl
1.0
7.4717 0.0000 0.0000
0.0000 7.4717 0.0000
0.0000 0.0000 7.4717
Lu Mg Tl
8 4 4
direct
0.0000 0.0000 0.0000
0.0000 0.5000 0.5000
0.2500 0.2500 0.2500
0.2500 0.7500 0.7500
0.5000 0.0000 0.5000
0.5000 0.5000 0.0000
0.7500 0.2500 0.7500
0.7500 0.7500 0.2500
0.2500 0.2500 0.7500
0.2500 0.7500 0.2500
0.7500 0.2500 0.2500
0.7500 0.7500 0.7500
0.0000 0.0000 0.5000
0.0000 0.5000 0.0000
0.5000 0.0000 0.0000
0.5000 0.5000 0.5000
```

Calculated values
Space-group type: F-43m (216)
Energy, eV per atom: -3.164

[3]
A relaxed LuMg2Tl crystal. Source: OQMD via LeMat-Bulk, functional PBE.

```
LuMg2Tl
1.0
7.2572 0.0000 0.0000
0.0000 7.2572 0.0000
0.0000 0.0000 7.2572
Lu Mg Tl
4 8 4
direct
0.0000 0.0000 0.0000
0.0000 0.5000 0.5000
0.5000 0.0000 0.5000
0.5000 0.5000 0.0000
0.0000 0.0000 0.5000
0.0000 0.5000 0.0000
0.2500 0.2500 0.2500
0.2500 0.7500 0.7500
0.5000 0.0000 0.0000
0.5000 0.5000 0.5000
0.7500 0.2500 0.7500
0.7500 0.7500 0.2500
0.2500 0.2500 0.7500
0.2500 0.7500 0.2500
0.7500 0.2500 0.2500
0.7500 0.7500 0.7500
```

Calculated values
Space-group type: F-43m (216)
Energy, eV per atom: -2.596

[4]
A relaxed LuMgZn2 crystal. Source: OQMD via LeMat-Bulk, functional PBE.

```
LuMgZn2
1.0
4.6482 0.0000 0.0000
-2.3241 4.0255 0.0000
0.0000 0.0000 8.3427
Lu Mg Zn
2 2 4
direct
0.3333 0.6667 0.2500
0.6667 0.3333 0.7500
0.0000 0.0000 0.0000
0.0000 0.0000 0.5000
0.3333 0.6667 0.5960
0.3333 0.6667 0.9040
0.6667 0.3333 0.0960
0.6667 0.3333 0.4040
```

Calculated values
Space-group type: P6_3/mmc (194)
Excess energy over the best structure of this formula in the dataset, eV per atom: 0.0000

[5]
A relaxed LuMgZn2 crystal. Source: OQMD via LeMat-Bulk, functional PBE.

```
LuMgZn2
1.0
4.9805 0.0000 0.0000
-2.4903 4.3133 0.0000
0.0000 0.0000 7.6353
Lu Mg Zn
2 2 4
direct
0.0000 0.0000 0.2500
0.0000 0.0000 0.7500
0.3333 0.6667 0.2500
0.6667 0.3333 0.7500
0.3333 0.6667 0.5859
0.3333 0.6667 0.9141
0.6667 0.3333 0.0859
0.6667 0.3333 0.4141
```

Calculated values
Space-group type: P6_3/mmc (194)
Excess energy over the best structure of this formula in the dataset, eV per atom: 0.4114

[6]
A relaxed LuMgZn2 crystal. Source: OQMD via LeMat-Bulk, functional PBE.

```
LuMgZn2
1.0
4.7795 0.0000 0.0000
-2.3898 4.1392 0.0000
0.0000 0.0000 8.0373
Lu Mg Zn
2 2 4
direct
0.0000 0.0000 0.0000
0.0000 0.0000 0.5000
0.3333 0.6667 0.2500
0.6667 0.3333 0.7500
0.3333 0.6667 0.5997
0.3333 0.6667 0.9003
0.6667 0.3333 0.0997
0.6667 0.3333 0.4003
```

Calculated values
Space-group type: P6_3/mmc (194)
Excess energy over the best structure of this formula in the dataset, eV per atom: 0.0957

[7]
A relaxed LuMgZn crystal. Source: OQMD via LeMat-Bulk, functional PBE.

```
LuMgZn
1.0
6.6549 0.0000 0.0000
0.0000 6.6549 0.0000
0.0000 0.0000 6.6549
Lu Mg Zn
4 4 4
direct
0.0000 0.0000 0.0000
0.0000 0.5000 0.5000
0.5000 0.0000 0.5000
0.5000 0.5000 0.0000
0.2500 0.2500 0.2500
0.2500 0.7500 0.7500
0.7500 0.2500 0.7500
0.7500 0.7500 0.2500
0.0000 0.0000 0.5000
0.0000 0.5000 0.0000
0.5000 0.0000 0.0000
0.5000 0.5000 0.5000
```

Calculated values
Space-group type: F-43m (216)
Energy, eV per atom: -2.117

[8]
A relaxed LuMgZn crystal. Source: OQMD via LeMat-Bulk, functional PBE.

```
LuMgZn
1.0
6.8737 0.0000 0.0000
0.0000 6.8737 0.0000
0.0000 0.0000 6.8737
Lu Mg Zn
4 4 4
direct
0.0000 0.0000 0.0000
0.0000 0.5000 0.5000
0.5000 0.0000 0.5000
0.5000 0.5000 0.0000
0.2500 0.2500 0.7500
0.2500 0.7500 0.2500
0.7500 0.2500 0.2500
0.7500 0.7500 0.7500
0.2500 0.2500 0.2500
0.2500 0.7500 0.7500
0.7500 0.2500 0.7500
0.7500 0.7500 0.2500
```

Calculated values
Space-group type: F-43m (216)
Energy, eV per atom: -1.982